ZrPdI3 | Alexandria via LeMat-Bulk | PBE | optimized geometry; energy above the lowest structure with this stoichiometry = 285 meV/atom
1.0
-5.4191 0.2347 0.4240
-0.4304 -4.5181 -3.0004
0.2226 -3.0220 4.5187
I Zr Pd
3 1 1
Cartesian
-0.2152 -2.2591 -1.5002
0.1113 -1.5110 2.2594
-2.7095 0.1173 0.2120
-2.8134 -3.6527 0.9711
0.0000 0.0000 0.0000